Record 1
Below is a crystal of BaAl2Ru relaxed with PBEsol, with properties calculated at the meta-GGA SCAN level.

For the total energy, the calculation gives -22.674 eV per atom. The energy relative to the elements comes out at -0.204 eV/atom.

abc: 3.1043 4.0873 7.5514
angles: 105.70 101.86 90.00
Fractional positions:
Al1 0.9031 0.9031 0.8062
Al2 0.7662 0.2662 0.5324
Ba1 0.5613 0.5613 0.1227
Ru1 0.2693 0.7693 0.5387

---

Record 2
Below is a crystal of Ba3AlSb3 relaxed with PBEsol, with properties calculated at the meta-GGA SCAN level.

For the total energy, the calculation gives -35.054 eV per atom. The uncorrected formation energy comes out at -1.0272 eV/atom.

abc: 7.1646 11.1187 14.0487
angles: 90.00 90.00 108.80
Fractional positions:
Sb1 0.7937 0.0000 0.8977
Sb2 0.8602 0.3188 0.6206
Sb3 0.7063 0.0000 0.3977
Sb4 0.4586 0.3188 0.3794
Sb5 0.2063 0.0000 0.1023
Sb6 0.1398 0.6812 0.3794
Sb7 0.9586 0.3188 0.1206
Sb8 0.0414 0.6812 0.8794
Sb9 0.3602 0.3188 0.8794
Sb10 0.5414 0.6812 0.6206
Sb11 0.6398 0.6812 0.1206
Sb12 0.2937 0.0000 0.6023
Ba1 0.8697 0.3483 0.8711
Ba2 0.6303 0.6517 0.3711
Ba3 0.1303 0.6517 0.1289
Ba4 0.6858 0.0000 0.1475
Ba5 0.5214 0.6517 0.8711
Ba6 0.0214 0.6517 0.6289
Ba7 0.3697 0.3483 0.6289
Ba8 0.1858 0.0000 0.3525
Ba9 0.4786 0.3483 0.1289
Ba10 0.9786 0.3483 0.3711
Ba11 0.3142 0.0000 0.8525
Ba12 0.8142 0.0000 0.6475
Al1 0.4149 0.8298 0.5000
Al2 0.0851 0.1702 0.0000
Al3 0.9149 0.8298 0.0000
Al4 0.5851 0.1702 0.5000

---

Record 3
Below is a crystal of Ba2AlSb relaxed with PBEsol, with properties calculated at the meta-GGA SCAN level.

For the total energy, the calculation gives -31.475 eV per atom. The calculation puts the energy above the lowest structure with this stoichiometry at 169 meV per atom. The uncorrected formation energy comes out at -0.4463 eV/atom.

abc: 5.8252 5.8252 5.8233
angles: 59.99 59.99 60.00
Fractional positions:
Ba1 0.7499 0.7499 0.7502
Ba2 0.2501 0.2501 0.2498
Al1 0.5000 0.5000 0.5000
Sb1 0.0000 0.0000 0.0000

---

Record 4
Below is a crystal of BaAl2Sb2 relaxed with PBEsol, with properties calculated at the meta-GGA SCAN level.

For the total energy, the calculation gives -26.366 eV per atom. The uncorrected formation energy comes out at -0.4510 eV/atom.

abc: 5.2635 5.2635 6.1730
angles: 115.24 115.24 90.00
Fractional positions:
Al1 0.6360 0.6360 0.2720
Al2 0.3640 0.3640 0.7280
Ba1 0.0000 0.0000 0.0000
Sb1 0.7500 0.2500 0.5000
Sb2 0.2500 0.7500 0.5000

---

Record 5
Below is a crystal of BaAl2Sb2 relaxed with PBEsol, with properties calculated at the meta-GGA SCAN level.

For the total energy, the calculation gives -26.131 eV per atom. The uncorrected formation energy comes out at -0.2158 eV/atom.

abc: 3.8436 8.2067 8.2067
angles: 90.00 90.00 90.00
Fractional positions:
Al1 0.0000 0.1159 0.3841
Al2 0.0000 0.6159 0.1159
Al3 0.0000 0.3841 0.8841
Al4 0.0000 0.8841 0.6159
Ba1 0.0000 0.5000 0.5000
Ba2 0.0000 0.0000 0.0000
Sb1 0.5000 0.1650 0.6650
Sb2 0.5000 0.3350 0.1650
Sb3 0.5000 0.8350 0.3350
Sb4 0.5000 0.6650 0.8350

---

Record 6
Below is a crystal of Ba7Al4Sb9 relaxed with PBEsol, with properties calculated at the meta-GGA SCAN level.

For the total energy, the calculation gives -33.048 eV per atom. The uncorrected formation energy comes out at -0.8882 eV/atom.

abc: 7.1284 10.8203 18.0126
angles: 90.00 90.00 90.00
Fractional positions:
Ba1 0.0468 0.2277 0.3759
Ba2 0.0468 0.7723 0.3759
Ba3 0.9532 0.2723 0.8759
Ba4 0.5850 0.0000 0.0000
Ba5 0.9532 0.2723 0.1241
Ba6 0.0468 0.2277 0.6241
Ba7 0.0468 0.7723 0.6241
Ba8 0.4577 0.5000 0.2127
Ba9 0.5423 0.0000 0.2873
Ba10 0.5423 0.0000 0.7127
Ba11 0.4150 0.5000 0.5000
Ba12 0.9532 0.7277 0.8759
Ba13 0.9532 0.7277 0.1241
Ba14 0.4577 0.5000 0.7873
Al1 0.7587 0.5000 0.3721
Al2 0.4411 0.3221 0.0000
Al3 0.4411 0.6779 0.0000
Al4 0.5589 0.1779 0.5000
Al5 0.2413 0.0000 0.8721
Al6 0.2413 0.0000 0.1279
Al7 0.5589 0.8221 0.5000
Al8 0.7587 0.5000 0.6279
Sb1 0.5461 0.7095 0.6329
Sb2 0.0480 0.0000 0.0000
Sb3 0.9843 0.5000 0.2574
Sb4 0.0157 0.0000 0.2426
Sb5 0.1677 0.5000 0.0000
Sb6 0.9520 0.5000 0.5000
Sb7 0.2861 0.0000 0.5000
Sb8 0.5461 0.2905 0.6329
Sb9 0.4539 0.7905 0.1329
Sb10 0.5461 0.2905 0.3671
Sb11 0.4539 0.2095 0.8671
Sb12 0.4539 0.7905 0.8671
Sb13 0.7139 0.5000 0.0000
Sb14 0.4539 0.2095 0.1329
Sb15 0.5461 0.7095 0.3671
Sb16 0.8323 0.0000 0.5000
Sb17 0.9843 0.5000 0.7426
Sb18 0.0157 0.0000 0.7574

---

Record 7
Below is a crystal of Ba2AlSb relaxed with PBEsol, with properties calculated at the meta-GGA SCAN level.

For the total energy, the calculation gives -31.643 eV per atom. The calculation puts the energy above the lowest structure with this stoichiometry at 0 meV per atom. The uncorrected formation energy comes out at -0.6152 eV/atom.

abc: 4.2713 5.4035 6.7072
angles: 113.75 108.57 90.00
Fractional positions:
Al1 0.2053 0.7053 0.4105
Ba1 0.7674 0.2674 0.5349
Ba2 0.9797 0.9797 0.9594
Sb1 0.5476 0.5476 0.0952

---

Record 8
Below is a crystal of Ba3AlSb relaxed with PBEsol, with properties calculated at the meta-GGA SCAN level.

For the total energy, the calculation gives -32.936 eV per atom. The uncorrected formation energy comes out at -0.2031 eV/atom.

abc: 6.5149 6.5149 6.5149
angles: 90.00 90.00 90.00
Site moments in Bohr magnetons follow the coordinates.
Fractional positions:
Sb1 0.0000 0.0000 0.0000  0.00
Ba1 0.0000 0.0000 0.5000  0.05
Ba2 0.5000 0.0000 0.0000  0.05
Ba3 0.0000 0.5000 0.0000  0.05
Al1 0.5000 0.5000 0.5000  0.13